DFT (GGA-PBE) results for a relaxed structure of Pm2NdErTm4.

Summary:
Electronic total energy, eV/atom: -4.1635
ΔH_f (0 K), kJ per mole of atoms: 41.1

abc: 9.4775 9.4775 11.7752
angles: 128.41 128.41 88.46
With the nearest neighbours (Å) after each atom.
Positions (direct):
Pm 0.5000 0.5000 0.0000  6 Tm 3.36-3.44, 2 Pm 3.38
Pm 0.5000 0.0000 0.0000  6 Tm 3.31-3.40, 2 Nd 3.38
Pm 0.0000 0.0000 0.5000  6 Tm 3.36-3.44, 2 Pm 3.38
Pm 0.5000 0.0000 0.5000  6 Tm 3.31-3.40, 2 Nd 3.38
Tm 0.7502 0.7500 0.9962  1 Nd 3.31, 3 Pm 3.31-3.44, 2 Er 3.36, 2 Tm 3.38
Tm 0.7499 0.7499 0.5038  1 Nd 3.31, 3 Pm 3.31-3.44, 2 Er 3.36, 2 Tm 3.38
Tm 0.2498 0.2500 0.0038  1 Nd 3.31, 3 Pm 3.31-3.44, 2 Er 3.36, 2 Tm 3.38
Tm 0.2458 0.7543 0.0000  1 Er 3.25, 3 Pm 3.36-3.40, 2 Tm 3.38-3.39, 2 Nd 3.40
Tm 0.7457 0.2542 0.5000  1 Er 3.25, 3 Pm 3.36-3.40, 2 Tm 3.38-3.39, 2 Nd 3.40
Tm 0.2543 0.7458 0.5000  1 Er 3.25, 3 Pm 3.36-3.40, 2 Tm 3.38-3.39, 2 Nd 3.39-3.40
Tm 0.7542 0.2457 0.0000  1 Er 3.25, 3 Pm 3.36-3.40, 2 Tm 3.38-3.39, 2 Nd 3.40
Tm 0.2501 0.2501 0.4962  1 Nd 3.31, 3 Pm 3.31-3.44, 2 Er 3.36, 2 Tm 3.38
Er 0.0000 0.0000 0.0000  6 Tm 3.25-3.36, 2 Er 3.38
Er 0.5000 0.5000 0.5000  6 Tm 3.25-3.36, 2 Er 3.38
Nd 0.0000 0.5000 0.5000  6 Tm 3.31-3.40, 2 Pm 3.38
Nd 0.0000 0.5000 0.0000  6 Tm 3.31-3.40, 2 Pm 3.38